Ce3Ag5H12: optimized geometry, PBE.

Properties
crystal system = cubic
VASP energy = -3.715 eV per atom
DOS at the Fermi energy = 77.7 states/eV per cell
V = 12.2 Å³ per atom
SG = No. 230
total magnetization = 2.7 μB per formula unit

Cell: 10.831 10.831 10.831 Å, 109.47 109.47 109.47°
Atoms (fractional coordinates):
Ag: 0.000 0.000 0.500
H: 0.915 0.822 0.785
H: 0.870 0.585 0.907
Ce: 0.625 0.375 0.750
H: 0.915 0.093 0.630
H: 0.093 0.178 0.462
Ce: 0.375 0.625 0.250
Ag: 0.875 0.625 0.750
H: 0.822 0.915 0.285
H: 0.785 0.462 0.370
H: 0.370 0.962 0.785
H: 0.415 0.130 0.593
H: 0.678 0.462 0.593
H: 0.538 0.322 0.907
H: 0.093 0.915 0.130
Ag: 0.000 0.000 0.000
Ce: 0.875 0.750 0.125
H: 0.038 0.407 0.822
Ag: 0.625 0.875 0.250
H: 0.593 0.630 0.415
H: 0.585 0.715 0.678
H: 0.593 0.962 0.678
Ce: 0.375 0.750 0.625
Ce: 0.250 0.625 0.875
H: 0.178 0.085 0.715
Ag: 0.000 0.500 0.000
Ag: 0.250 0.875 0.125
H: 0.585 0.870 0.407
Ce: 0.250 0.125 0.375
Ag: 0.625 0.750 0.875
H: 0.038 0.630 0.715
H: 0.962 0.370 0.285
H: 0.822 0.907 0.038
H: 0.215 0.538 0.630
Ag: 0.375 0.125 0.750
Ag: 0.125 0.375 0.250
Ce: 0.125 0.250 0.875
H: 0.462 0.785 0.870
H: 0.285 0.870 0.962
H: 0.322 0.538 0.407
Ce: 0.625 0.250 0.375
Ag: 0.750 0.625 0.375
Ag: 0.125 0.750 0.375
H: 0.678 0.215 0.585
H: 0.130 0.415 0.093
H: 0.322 0.785 0.415
H: 0.715 0.585 0.178
Ag: 0.750 0.125 0.875
H: 0.407 0.370 0.585
H: 0.130 0.715 0.538
H: 0.907 0.822 0.538
Ag: 0.500 0.000 0.000
H: 0.215 0.678 0.085
Ag: 0.500 0.000 0.500
Ce: 0.750 0.375 0.125
H: 0.907 0.085 0.870
H: 0.538 0.215 0.130
H: 0.785 0.322 0.915
H: 0.630 0.038 0.215
Ce: 0.750 0.875 0.625
H: 0.715 0.130 0.038
H: 0.415 0.285 0.322
Ce: 0.875 0.125 0.250
H: 0.407 0.038 0.322
H: 0.462 0.678 0.093
Ag: 0.875 0.250 0.625
H: 0.870 0.285 0.462
Ag: 0.250 0.375 0.625
Ag: 0.375 0.250 0.125
Ag: 0.500 0.500 0.500
H: 0.285 0.415 0.822
H: 0.085 0.178 0.215
H: 0.630 0.593 0.915
Ag: 0.500 0.500 0.000
Ag: 0.000 0.500 0.500
H: 0.178 0.093 0.962
H: 0.085 0.907 0.370
H: 0.962 0.593 0.178
H: 0.370 0.407 0.085
Ce: 0.125 0.875 0.750

=====

Ce12Ag3H5: optimized geometry, PBE.

Properties
crystal system = cubic
VASP energy = -4.849 eV per atom
DOS at the Fermi energy = 268.5 states/eV per cell
V = 23.4 Å³ per atom
SG = No. 230
total magnetization = 14.9 μB per formula unit

Cell: 13.442 13.442 13.442 Å, 109.47 109.47 109.47°
Atoms (fractional coordinates):
Ce: 0.690 0.205 0.602
Ce: 0.103 0.398 0.088
H: 0.375 0.125 0.750
Ce: 0.205 0.515 0.603
Ag: 0.125 0.875 0.750
Ce: 0.205 0.690 0.102
Ce: 0.690 0.485 0.588
Ce: 0.412 0.397 0.602
H: 0.125 0.375 0.250
Ce: 0.412 0.015 0.310
Ce: 0.088 0.190 0.485
Ce: 0.485 0.795 0.897
Ag: 0.375 0.625 0.250
H: 0.375 0.250 0.125
Ce: 0.015 0.412 0.810
H: 0.000 0.000 0.000
Ce: 0.398 0.103 0.588
Ce: 0.588 0.603 0.398
Ce: 0.602 0.897 0.412
Ce: 0.795 0.310 0.898
Ce: 0.897 0.602 0.912
Ce: 0.295 0.897 0.985
H: 0.625 0.750 0.875
Ag: 0.125 0.250 0.875
Ce: 0.398 0.295 0.310
Ce: 0.602 0.705 0.690
Ce: 0.485 0.690 0.088
H: 0.625 0.875 0.250
H: 0.125 0.750 0.375
Ce: 0.102 0.190 0.205
Ag: 0.875 0.125 0.250
Ce: 0.515 0.205 0.103
Ag: 0.250 0.625 0.875
Ce: 0.898 0.088 0.603
H: 0.875 0.625 0.750
H: 0.250 0.375 0.625
Ce: 0.795 0.485 0.397
Ce: 0.588 0.985 0.690
Ce: 0.810 0.912 0.015
Ce: 0.912 0.102 0.897
Ce: 0.898 0.810 0.795
Ce: 0.810 0.898 0.295
Ce: 0.397 0.412 0.102
Ag: 0.625 0.250 0.375
Ce: 0.103 0.705 0.515
H: 0.875 0.250 0.625
H: 0.750 0.125 0.875
Ag: 0.625 0.375 0.750
H: 0.000 0.500 0.500
Ce: 0.190 0.088 0.985
H: 0.500 0.500 0.000
Ce: 0.603 0.588 0.898
H: 0.000 0.500 0.000
Ce: 0.397 0.985 0.795
Ce: 0.295 0.398 0.810
Ce: 0.310 0.515 0.412
Ce: 0.015 0.603 0.705
Ce: 0.985 0.397 0.295
Ag: 0.250 0.125 0.375
Ce: 0.515 0.310 0.912
Ce: 0.912 0.810 0.515
Ag: 0.750 0.375 0.125
Ce: 0.897 0.295 0.485
Ce: 0.603 0.015 0.205
H: 0.500 0.000 0.000
Ce: 0.705 0.602 0.190
Ce: 0.985 0.588 0.190
H: 0.250 0.875 0.125
Ce: 0.190 0.102 0.705
Ag: 0.750 0.875 0.625
Ce: 0.310 0.795 0.398
Ce: 0.088 0.898 0.103
H: 0.000 0.000 0.500
Ce: 0.102 0.912 0.397
Ag: 0.875 0.750 0.125
H: 0.500 0.000 0.500
Ag: 0.375 0.750 0.625
H: 0.500 0.500 0.500
H: 0.750 0.625 0.375
Ce: 0.705 0.103 0.015

=====

Ce3AgH: optimized geometry, PBE.

Properties
crystal system = cubic
VASP energy = -4.841 eV per atom
DOS at the Fermi energy = 14.1 states/eV per cell
V = 22.6 Å³ per atom
SG = No. 221
total magnetization = 3.9 μB per formula unit

Cell: 4.832 4.832 4.832 Å, 90.00 90.00 90.00°
Atoms (fractional coordinates):
Ce: 0.500 0.000 0.000
Ce: 0.000 0.500 0.000
Ag: 0.500 0.500 0.500
H: 0.000 0.000 0.000
Ce: 0.000 0.000 0.500

=====

Ce4Ag2H: optimized geometry, PBE.

Properties
crystal system = tetragonal
VASP energy = -4.689 eV per atom
DOS at the Fermi energy = 23.1 states/eV per cell
V = 25.0 Å³ per atom
SG = No. 139
total magnetization = 5.4 μB per formula unit

Cell: 4.693 4.693 8.613 Å, 105.81 105.81 90.00°
Atoms (fractional coordinates):
H: 0.000 0.000 0.000
Ce: 0.178 0.178 0.356
Ce: 0.000 0.500 0.000
Ag: 0.364 0.364 0.727
Ag: 0.636 0.636 0.273
Ce: 0.822 0.822 0.644
Ce: 0.500 0.000 0.000

=====

Ce3AgH3: optimized geometry, PBE.

Properties
crystal system = cubic
VASP energy = -4.585 eV per atom
DOS at the Fermi energy = 36.7 states/eV per cell
V = 18.7 Å³ per atom
SG = No. 223
total magnetization = 4.7 μB per formula unit

Cell: 6.392 6.392 6.392 Å, 90.00 90.00 90.00°
Atoms (fractional coordinates):
Ce: 0.500 0.000 0.750
Ag: 0.500 0.500 0.500
H: 0.750 0.000 0.500
H: 0.000 0.500 0.750
Ce: 0.750 0.500 0.000
Ag: 0.000 0.000 0.000
H: 0.500 0.750 0.000
Ce: 0.000 0.250 0.500
Ce: 0.250 0.500 0.000
H: 0.000 0.500 0.250
H: 0.500 0.250 0.000
Ce: 0.500 0.000 0.250
H: 0.250 0.000 0.500
Ce: 0.000 0.750 0.500

=====

CeAgH6Pd: optimized geometry, PBE.

Properties
crystal system = hexagonal
VASP energy = -3.925 eV per atom
DOS at the Fermi energy = 5.9 states/eV per cell
V = 9.7 Å³ per atom
SG = No. 187
total magnetization = 1.4 μB per formula unit

Cell: 4.758 4.758 4.468 Å, 90.00 90.00 60.00°
Atoms (fractional coordinates):
H: 0.490 0.489 0.217
Ce: 0.000 0.000 0.000
Pd: 0.333 0.333 0.500
H: 0.489 0.490 0.783
H: 0.021 0.490 0.217
H: 0.489 0.021 0.217
H: 0.490 0.021 0.783
Ag: 0.667 0.667 0.500
H: 0.021 0.489 0.783

=====

- What is the total magnetization in the first record?
  2.7 μB per formula unit

=====

- Which of these has the lowest total magnetization?
  CeAgH6Pd

=====

- Look up the total magnetization of the sixth one.
  1.4 μB per formula unit